KMg2Te: optimized geometry, PBEsol.

Properties
* raw formation energy: -0.13 eV per atom
* crystal system: cubic

CIF file:
```
data_KMg2Te
_chemical_formula_sum 'K4 Mg8 Te4'
_symmetry_space_group_name_H-M 'F -4 3 m'
_symmetry_Int_Tables_number 216
_symmetry_space_group_name_Hall 'F -4 2 3'
_cell_length_a 7.8084
_cell_length_b 7.8084
_cell_length_c 7.8084
_cell_angle_alpha 90.00
_cell_angle_beta 90.00
_cell_angle_gamma 90.00
loop_
_atom_site_label
_atom_site_type_symbol
_atom_site_fract_x
_atom_site_fract_y
_atom_site_fract_z
K1 K 0.0000 0.0000 0.0000
Mg1 Mg 0.0000 0.0000 0.5000
Mg2 Mg 0.2500 0.2500 0.7500
Te1 Te 0.2500 0.2500 0.2500
```

***

ZnReSeN2: optimized geometry, PBEsol.

Properties
* raw formation energy: 2.00 eV per atom
* crystal system: tetragonal

CIF file:
```
data_ZnReSeN2
_chemical_formula_sum 'Zn1 Re1 Se1 N2'
_symmetry_space_group_name_H-M 'P 4/m m m'
_symmetry_Int_Tables_number 123
_symmetry_space_group_name_Hall '-P 4 2'
_cell_length_a 3.7887
_cell_length_b 3.7887
_cell_length_c 4.9279
_cell_angle_alpha 90.00
_cell_angle_beta 90.00
_cell_angle_gamma 90.00
loop_
_atom_site_label
_atom_site_type_symbol
_atom_site_fract_x
_atom_site_fract_y
_atom_site_fract_z
Zn1 Zn 0.0000 0.0000 0.0000
Re1 Re 0.5000 0.5000 0.5000
Se1 Se 0.0000 0.0000 0.5000
N1 N 0.0000 0.5000 0.0000
```

***

Li4CoTeO6: optimized geometry, PBEsol.

Properties
* raw formation energy: -1.60 eV per atom
* crystal system: monoclinic

CIF file:
```
data_Li4CoTeO6
_chemical_formula_sum 'Li8 Co2 Te2 O12'
_symmetry_space_group_name_H-M 'C 1 2 1'
_symmetry_Int_Tables_number 5
_cell_length_a 5.1937
_cell_length_b 8.7273
_cell_length_c 5.1311
_cell_angle_alpha 90.00
_cell_angle_beta 111.26
_cell_angle_gamma 90.00
loop_
_symmetry_equiv_pos_as_xyz
'x,y,z'
'-x,y,-z'
'x+1/2,y+1/2,z'
'-x+1/2,y+1/2,-z'
loop_
_atom_site_label
_atom_site_type_symbol
_atom_site_fract_x
_atom_site_fract_y
_atom_site_fract_z
Li1 Li 0.0000 0.0000 0.0000
Li2 Li 0.0000 0.1629 0.5000
Li3 Li 0.0000 0.5221 0.5000
Li4 Li 0.0000 0.8352 0.5000
Co1 Co 0.0000 0.6668 0.0000
Te1 Te 0.0000 0.3318 0.0000
O1 O 0.2190 0.5019 0.2309
O2 O 0.2360 0.1798 0.2472
O3 O 0.2481 0.3252 0.7852
```

***

Ho6MnBi2: optimized geometry, PBEsol.

Properties
* calculated formation energy: -359 kJ/mol of formula units
* crystal system: hexagonal

CIF file:
```
data_Ho6MnBi2
_chemical_formula_sum 'Ho6 Mn1 Bi2'
_symmetry_space_group_name_H-M 'P -6 2 m'
_symmetry_Int_Tables_number 189
_symmetry_space_group_name_Hall 'P -6 -2'
_cell_length_a 8.1428
_cell_length_b 8.1428
_cell_length_c 4.1677
_cell_angle_alpha 90.00
_cell_angle_beta 90.00
_cell_angle_gamma 120.00
loop_
_atom_site_label
_atom_site_type_symbol
_atom_site_fract_x
_atom_site_fract_y
_atom_site_fract_z
Ho1 Ho 0.0000 0.3920 0.0000
Ho2 Ho 0.0000 0.7683 0.5000
Mn1 Mn 0.0000 0.0000 0.0000
Bi1 Bi 0.3333 0.6667 0.5000
```

***

LaPSe2: optimized geometry, PBEsol.

Properties
* raw formation energy: -1.07 eV per atom
* crystal system: orthorhombic

CIF file:
```
data_LaPSe2
_chemical_formula_sum 'La2 P2 Se4'
_symmetry_space_group_name_H-M 'I m m m'
_symmetry_Int_Tables_number 71
_symmetry_space_group_name_Hall '-I 2 2'
_cell_length_a 3.8483
_cell_length_b 5.2554
_cell_length_c 8.4912
_cell_angle_alpha 90.00
_cell_angle_beta 90.00
_cell_angle_gamma 90.00
loop_
_atom_site_label
_atom_site_type_symbol
_atom_site_fract_x
_atom_site_fract_y
_atom_site_fract_z
La1 La 0.0000 0.0000 0.0000
P1 P 0.0000 0.0000 0.5000
Se1 Se 0.0000 0.5000 0.1976
```

***

NaHgSb2: optimized geometry, PBEsol.

Properties
* raw formation energy: -0.06 eV per atom
* crystal system: tetragonal

CIF file:
```
data_NaHgSb2
_chemical_formula_sum 'Na4 Hg4 Sb8'
_symmetry_space_group_name_H-M 'I -4 2 d'
_symmetry_Int_Tables_number 122
_symmetry_space_group_name_Hall 'I -4 2bw'
_cell_length_a 8.6207
_cell_length_b 8.6207
_cell_length_c 5.9454
_cell_angle_alpha 90.00
_cell_angle_beta 90.00
_cell_angle_gamma 90.00
loop_
_atom_site_label
_atom_site_type_symbol
_atom_site_fract_x
_atom_site_fract_y
_atom_site_fract_z
Na1 Na 0.0000 0.0000 0.0000
Hg1 Hg 0.0000 0.0000 0.5000
Sb1 Sb 0.1953 0.2500 0.6250
```

***

Record order is preserved below.
Raw total energy: -34.4, -25.8, -139.7, -51.8, -46.2, -45.3 eV/cell